(1)
Here is a relaxed TiRe2Ir2 crystal from Alexandria. Energies are from PBE.

Geometry as CIF:
```
data_TiRe2Ir2
_chemical_formula_sum 'Ti2 Re4 Ir4'
_cell_length_a 7.606
_cell_length_b 7.606
_cell_length_c 2.734
_cell_angle_alpha 90.00
_cell_angle_beta 90.00
_cell_angle_gamma 90.00
_symmetry_space_group_name_H-M 'P 1'
_symmetry_Int_Tables_number 1
loop_
_symmetry_equiv_pos_as_xyz
'x,y,z'
loop_
_atom_site_label
_atom_site_fract_x
_atom_site_fract_y
_atom_site_fract_z
Ir1 0.124 0.376 0.000
Ir2 0.876 0.624 0.000
Ir3 0.376 0.876 0.000
Ir4 0.624 0.124 0.000
Ti1 0.000 0.000 0.000
Ti2 0.500 0.500 0.000
Re1 0.326 0.174 0.500
Re2 0.826 0.326 0.500
Re3 0.174 0.674 0.500
Re4 0.674 0.826 0.500
```

- Formation energy: -0.13 eV/atom
- Calculated volume: 15.8 Å³ per atom
- Magnetization: 0.000 μB/f.u.
- Calculated density: 16.90 g cm⁻³
- Energy: -10.230 eV per atom



(2)
Here is a relaxed Ti2ReIr2 crystal from Alexandria. Energies are from PBE.

Geometry as CIF:
```
data_Ti2ReIr2
_chemical_formula_sum 'Ti4 Re2 Ir4'
_cell_length_a 7.351
_cell_length_b 7.351
_cell_length_c 2.859
_cell_angle_alpha 90.00
_cell_angle_beta 90.00
_cell_angle_gamma 90.00
_symmetry_space_group_name_H-M 'P 1'
_symmetry_Int_Tables_number 1
loop_
_symmetry_equiv_pos_as_xyz
'x,y,z'
loop_
_atom_site_label
_atom_site_fract_x
_atom_site_fract_y
_atom_site_fract_z
Ti1 0.155 0.345 0.000
Ti2 0.845 0.655 0.000
Ti3 0.655 0.155 0.000
Ti4 0.345 0.845 0.000
Re1 0.000 0.000 0.000
Re2 0.500 0.500 0.000
Ir1 0.646 0.854 0.500
Ir2 0.146 0.646 0.500
Ir3 0.354 0.146 0.500
Ir4 0.854 0.354 0.500
```

- Formation energy: -0.33 eV/atom
- Calculated volume: 15.4 Å³ per atom
- Magnetization: 0.000 μB/f.u.
- Calculated density: 14.33 g cm⁻³
- Energy: -9.523 eV per atom



(3)
Here is a relaxed TiRe2Ir crystal from Alexandria. Energies are from PBE.

Geometry as CIF:
```
data_TiRe2Ir
_chemical_formula_sum 'Ti1 Re2 Ir1'
_cell_length_a 4.403
_cell_length_b 4.403
_cell_length_c 4.403
_cell_angle_alpha 60.00
_cell_angle_beta 60.00
_cell_angle_gamma 60.00
_symmetry_space_group_name_H-M 'P 1'
_symmetry_Int_Tables_number 1
loop_
_symmetry_equiv_pos_as_xyz
'x,y,z'
loop_
_atom_site_label
_atom_site_fract_x
_atom_site_fract_y
_atom_site_fract_z
Ir1 0.500 0.500 0.500
Re1 0.750 0.750 0.750
Re2 0.250 0.250 0.250
Ti1 0.000 0.000 0.000
```

- Formation energy: 0.07 eV/atom
- Calculated volume: 15.1 Å³ per atom
- Polymorph energy (0 for the lowest one): 0 meV per atom
- Magnetization: 1.170 μB/f.u.
- Calculated density: 16.86 g cm⁻³
- Energy: -10.348 eV per atom



(4)
Here is a relaxed TiRe2Ir2 crystal from Alexandria. Energies are from PBE.

Geometry as CIF:
```
data_TiRe2Ir2
_chemical_formula_sum 'Ti2 Re4 Ir4'
_cell_length_a 7.612
_cell_length_b 7.612
_cell_length_c 2.737
_cell_angle_alpha 90.00
_cell_angle_beta 90.00
_cell_angle_gamma 90.00
_symmetry_space_group_name_H-M 'P 1'
_symmetry_Int_Tables_number 1
loop_
_symmetry_equiv_pos_as_xyz
'x,y,z'
loop_
_atom_site_label
_atom_site_fract_x
_atom_site_fract_y
_atom_site_fract_z
Re1 0.622 0.122 0.000
Re2 0.378 0.878 0.000
Re3 0.878 0.622 0.000
Re4 0.122 0.378 0.000
Ti1 0.000 0.000 0.000
Ti2 0.500 0.500 0.000
Ir1 0.673 0.827 0.500
Ir2 0.827 0.327 0.500
Ir3 0.173 0.673 0.500
Ir4 0.327 0.173 0.500
```

- Formation energy: -0.13 eV/atom
- Calculated volume: 15.9 Å³ per atom
- Magnetization: 0.000 μB/f.u.
- Calculated density: 16.85 g cm⁻³
- Energy: -10.232 eV per atom



(5)
Here is a relaxed TiRe3Ir crystal from Alexandria. Energies are from PBE.

Geometry as CIF:
```
data_TiRe3Ir
_chemical_formula_sum 'Ti1 Re3 Ir1'
_cell_length_a 4.686
_cell_length_b 4.686
_cell_length_c 4.686
_cell_angle_alpha 90.00
_cell_angle_beta 90.00
_cell_angle_gamma 90.00
_symmetry_space_group_name_H-M 'P 1'
_symmetry_Int_Tables_number 1
loop_
_symmetry_equiv_pos_as_xyz
'x,y,z'
loop_
_atom_site_label
_atom_site_fract_x
_atom_site_fract_y
_atom_site_fract_z
Ir1 0.000 0.000 0.000
Re1 0.000 0.000 0.500
Re2 0.500 0.000 0.000
Re3 0.000 0.500 0.000
Ti1 0.500 0.500 0.500
```

- Formation energy: 1.94 eV/atom
- Calculated volume: 20.6 Å³ per atom
- Polymorph energy (0 for the lowest one): 9 meV per atom
- Magnetization: 0.000 μB/f.u.
- Calculated density: 12.89 g cm⁻³
- Energy: -8.878 eV per atom



(6)
Here is a relaxed TiRe3Ir crystal from Alexandria. Energies are from PBE.

Geometry as CIF:
```
data_TiRe3Ir
_chemical_formula_sum 'Ti1 Re3 Ir1'
_cell_length_a 4.449
_cell_length_b 4.449
_cell_length_c 4.449
_cell_angle_alpha 90.00
_cell_angle_beta 90.00
_cell_angle_gamma 90.00
_symmetry_space_group_name_H-M 'P 1'
_symmetry_Int_Tables_number 1
loop_
_symmetry_equiv_pos_as_xyz
'x,y,z'
loop_
_atom_site_label
_atom_site_fract_x
_atom_site_fract_y
_atom_site_fract_z
Re1 0.500 0.000 0.000
Re2 0.000 0.500 0.000
Re3 0.000 0.000 0.500
Ir1 0.500 0.500 0.500
Ti1 0.000 0.000 0.000
```

- Formation energy: 1.93 eV/atom
- Calculated volume: 17.6 Å³ per atom
- Polymorph energy (0 for the lowest one): 0 meV per atom
- Magnetization: 0.000 μB/f.u.
- Calculated density: 15.06 g cm⁻³
- Energy: -8.886 eV per atom



(7)
Here is a relaxed Ti2ReIr crystal from Alexandria. Energies are from PBE.

Geometry as CIF:
```
data_Ti2ReIr
_chemical_formula_sum 'Ti2 Re1 Ir1'
_cell_length_a 4.393
_cell_length_b 4.393
_cell_length_c 4.393
_cell_angle_alpha 60.00
_cell_angle_beta 60.00
_cell_angle_gamma 60.00
_symmetry_space_group_name_H-M 'P 1'
_symmetry_Int_Tables_number 1
loop_
_symmetry_equiv_pos_as_xyz
'x,y,z'
loop_
_atom_site_label
_atom_site_fract_x
_atom_site_fract_y
_atom_site_fract_z
Ti1 0.250 0.250 0.250
Ti2 0.750 0.750 0.750
Ir1 0.500 0.500 0.500
Re1 0.000 0.000 0.000
```

- Formation energy: -0.75 eV/atom
- Calculated volume: 15.0 Å³ per atom
- Polymorph energy (0 for the lowest one): 0 meV per atom
- Magnetization: 0.000 μB/f.u.
- Calculated density: 13.13 g cm⁻³
- Energy: -10.026 eV per atom



(8)
Here is a relaxed TiReIr2 crystal from Alexandria. Energies are from PBE.

Geometry as CIF:
```
data_TiReIr2
_chemical_formula_sum 'Ti2 Re2 Ir4'
_cell_length_a 3.850
_cell_length_b 3.850
_cell_length_c 9.236
_cell_angle_alpha 77.97
_cell_angle_beta 77.97
_cell_angle_gamma 90.00
_symmetry_space_group_name_H-M 'P 1'
_symmetry_Int_Tables_number 1
loop_
_symmetry_equiv_pos_as_xyz
'x,y,z'
loop_
_atom_site_label
_atom_site_fract_x
_atom_site_fract_y
_atom_site_fract_z
Ti1 0.500 0.500 0.000
Ti2 0.250 0.750 0.500
Ir1 0.375 0.375 0.750
Ir2 0.875 0.875 0.750
Ir3 0.125 0.625 0.250
Ir4 0.625 0.125 0.250
Re1 0.000 0.000 0.000
Re2 0.750 0.250 0.500
```

- Formation energy: 0.22 eV/atom
- Calculated volume: 16.4 Å³ per atom
- Polymorph energy (0 for the lowest one): 701 meV per atom
- Magnetization: 0.000 μB/f.u.
- Calculated density: 15.70 g cm⁻³
- Energy: -9.300 eV per atom



(9)
Here is a relaxed Ti5ReIr4 crystal from Alexandria. Energies are from PBE.

Geometry as CIF:
```
data_Ti5ReIr4
_chemical_formula_sum 'Ti5 Re1 Ir4'
_cell_length_a 3.169
_cell_length_b 3.169
_cell_length_c 15.065
_cell_angle_alpha 90.00
_cell_angle_beta 90.00
_cell_angle_gamma 90.00
_symmetry_space_group_name_H-M 'P 1'
_symmetry_Int_Tables_number 1
loop_
_symmetry_equiv_pos_as_xyz
'x,y,z'
loop_
_atom_site_label
_atom_site_fract_x
_atom_site_fract_y
_atom_site_fract_z
Ti1 0.500 0.500 0.300
Ti2 0.500 0.500 0.500
Ti3 0.500 0.500 0.902
Ti4 0.500 0.500 0.098
Ti5 0.500 0.500 0.700
Re1 0.000 0.000 0.000
Ir1 0.000 0.000 0.796
Ir2 0.000 0.000 0.401
Ir3 0.000 0.000 0.204
Ir4 0.000 0.000 0.599
```

- Formation energy: -0.77 eV/atom
- Calculated volume: 15.1 Å³ per atom
- Magnetization: 0.000 μB/f.u.
- Calculated density: 13.11 g cm⁻³
- Energy: -9.510 eV per atom



(10)
Here is a relaxed TiReIr6 crystal from Alexandria. Energies are from PBE.

Geometry as CIF:
```
data_TiReIr6
_chemical_formula_sum 'Ti1 Re1 Ir6'
_cell_length_a 3.876
_cell_length_b 5.486
_cell_length_c 5.486
_cell_angle_alpha 90.00
_cell_angle_beta 90.00
_cell_angle_gamma 90.00
_symmetry_space_group_name_H-M 'P 1'
_symmetry_Int_Tables_number 1
loop_
_symmetry_equiv_pos_as_xyz
'x,y,z'
loop_
_atom_site_label
_atom_site_fract_x
_atom_site_fract_y
_atom_site_fract_z
Ir1 0.500 0.500 0.000
Ir2 0.500 0.000 0.500
Ir3 0.000 0.746 0.254
Ir4 0.000 0.746 0.746
Ir5 0.000 0.254 0.254
Ir6 0.000 0.254 0.746
Ti1 0.500 0.000 0.000
Re1 0.500 0.500 0.500
```

- Formation energy: -0.43 eV/atom
- Calculated volume: 14.6 Å³ per atom
- Magnetization: 0.000 μB/f.u.
- Calculated density: 19.75 g cm⁻³
- Energy: -9.621 eV per atom



(11)
Here is a relaxed Ti2ReIr crystal from Alexandria. Energies are from PBE.

Geometry as CIF:
```
data_Ti2ReIr
_chemical_formula_sum 'Ti2 Re1 Ir1'
_cell_length_a 3.126
_cell_length_b 4.384
_cell_length_c 4.384
_cell_angle_alpha 90.00
_cell_angle_beta 90.00
_cell_angle_gamma 90.00
_symmetry_space_group_name_H-M 'P 1'
_symmetry_Int_Tables_number 1
loop_
_symmetry_equiv_pos_as_xyz
'x,y,z'
loop_
_atom_site_label
_atom_site_fract_x
_atom_site_fract_y
_atom_site_fract_z
Ti1 0.000 0.000 0.500
Ti2 0.000 0.500 0.000
Re1 0.500 0.500 0.500
Ir1 0.500 0.000 0.000
```

- Formation energy: -0.73 eV/atom
- Calculated volume: 15.0 Å³ per atom
- Polymorph energy (0 for the lowest one): 20 meV per atom
- Magnetization: 0.000 μB/f.u.
- Calculated density: 13.10 g cm⁻³
- Energy: -10.005 eV per atom



(12)
Here is a relaxed TiReIr3 crystal from Alexandria. Energies are from PBE.

Geometry as CIF:
```
data_TiReIr3
_chemical_formula_sum 'Ti1 Re1 Ir3'
_cell_length_a 4.710
_cell_length_b 4.710
_cell_length_c 4.710
_cell_angle_alpha 90.00
_cell_angle_beta 90.00
_cell_angle_gamma 90.00
_symmetry_space_group_name_H-M 'P 1'
_symmetry_Int_Tables_number 1
loop_
_symmetry_equiv_pos_as_xyz
'x,y,z'
loop_
_atom_site_label
_atom_site_fract_x
_atom_site_fract_y
_atom_site_fract_z
Ir1 0.000 0.000 0.500
Ir2 0.000 0.500 0.000
Ir3 0.500 0.000 0.000
Re1 0.000 0.000 0.000
Ti1 0.500 0.500 0.500
```

- Formation energy: 1.44 eV/atom
- Calculated volume: 20.9 Å³ per atom
- Polymorph energy (0 for the lowest one): 0 meV per atom
- Magnetization: 0.000 μB/f.u.
- Calculated density: 12.89 g cm⁻³
- Energy: -7.950 eV per atom